No. 1
Zr3CdSb PBE-GGA relaxed; ρ = 5.69 g cm⁻³; ΔE_f (raw) = 2.909 eV per formula unit; offset from the most stable computed form = 0 meV per atom; DOS at the Fermi energy = 1.285 states/eV/atom
1.0
-3.141 3.693 2.123
-4.173 -2.140 -2.451
-0.852 -3.129 4.182
Sb Zr Cd
1 3 1
direct
0.000 0.000 0.000 Sb
0.000 0.500 0.000 Zr
0.000 0.000 0.500 Zr
0.500 0.000 0.000 Zr
0.500 0.500 0.500 Cd

No. 2
Na2Sr13 PBE-GGA relaxed; ρ = 2.50 g cm⁻³; DOS at the Fermi energy = 0.843 states/eV/atom; formation enthalpy at 0 K = 14 meV/atom
1.0
-6.176 4.831 0.984
-3.422 -5.283 -8.374
-3.431 -3.966 9.102
Na Sr
2 13
direct
0.869 0.790 0.537 Na
0.131 0.210 0.463 Na
0.740 0.593 0.054 Sr
0.260 0.407 0.946 Sr
0.000 0.000 0.000 Sr
0.306 0.007 0.659 Sr
0.694 0.993 0.341 Sr
0.062 0.593 0.720 Sr
0.938 0.407 0.280 Sr
0.427 0.612 0.401 Sr
0.573 0.388 0.599 Sr
0.532 0.801 0.858 Sr
0.468 0.199 0.142 Sr
0.800 0.187 0.785 Sr
0.200 0.813 0.215 Sr

No. 3
Pm12TcGe6 PBE-GGA relaxed; ρ = 6.39 g cm⁻³; DOS at the Fermi energy = 1.022 states/eV/atom; formation enthalpy at 0 K = -442 meV/atom
1.0
8.522 -0.051 -0.061
-1.342 8.415 -0.061
-1.342 -1.564 8.269
Pm Tc Ge
12 1 6
direct
0.814 0.574 0.434 Pm
0.434 0.814 0.574 Pm
0.574 0.434 0.814 Pm
0.186 0.426 0.566 Pm
0.566 0.186 0.426 Pm
0.426 0.566 0.186 Pm
0.061 0.962 0.319 Pm
0.038 0.681 0.939 Pm
0.681 0.939 0.038 Pm
0.939 0.038 0.681 Pm
0.962 0.319 0.061 Pm
0.319 0.061 0.962 Pm
0.000 0.000 0.000 Tc
0.696 0.871 0.375 Ge
0.625 0.304 0.129 Ge
0.129 0.625 0.304 Ge
0.304 0.129 0.625 Ge
0.375 0.696 0.871 Ge
0.871 0.375 0.696 Ge

No. 4
Te2Pt3 PBE-GGA relaxed; ρ = 13.98 g cm⁻³; ΔE_f (raw) = -0.317 eV per formula unit; DOS at the Fermi energy = 0.640 states/eV/atom
1.0
0.000 5.424 6.703
2.746 0.000 6.703
2.746 5.424 0.000
Te Pt
4 6
direct
0.288 0.834 0.401 Te
0.476 0.401 0.834 Te
0.416 0.962 0.774 Te
0.849 0.774 0.962 Te
0.799 0.476 0.286 Pt
0.438 0.286 0.476 Pt
0.774 0.451 0.812 Pt
0.964 0.812 0.451 Pt
0.998 0.002 0.002 Pt
0.248 0.252 0.252 Pt